Zn2CrF6 | PBE+U | relaxed

Values from the calculation:
Total magnetic moment: 8.00 μB/cell
E_tot: -85.0 eV per cell
Space-group type: P2_1/c

Geometry as extended XYZ:
```
18
Lattice="-2.863 -3.840 0.400 4.376 -3.274 -0.114 0.202 0.796 9.096" Properties=species:S:1:pos:R:3 pbc="T T T"
Zn -1.442 -1.903 1.901
Zn 2.141 -1.471 2.812
Zn -0.425 -4.848 6.569
Zn 3.158 -4.416 7.480
Cr 0.757 -3.557 0.143
Cr 0.101 0.398 4.548
F 0.265 -0.840 6.199
F 0.098 -1.367 3.031
F -0.147 -1.749 0.129
F -0.776 -3.801 4.811
F -0.772 -3.847 1.873
F -0.430 -3.168 7.758
F 1.451 -5.479 3.182
F 1.618 -4.952 6.350
F 1.863 -4.570 9.252
F 2.492 -2.518 4.570
F 2.487 -2.471 7.508
F 2.146 -3.151 1.623
```